Density functional theory data (PBE) for a geometry-optimized Pa2TiSi3Pt4 structure.

```
Pa2TiSi3Pt4
1.0
4.189 0.000 0.000
0.000 4.189 0.000
0.000 0.000 10.201
Pt Ti Si Pa
4 1 3 2
Direct
0.000 0.500 0.362
0.000 0.000 0.000
0.500 0.000 0.638
0.500 0.500 0.000
0.500 0.500 0.500
0.500 0.000 0.871
0.000 0.000 0.500
0.000 0.500 0.129
0.500 0.000 0.243
0.000 0.500 0.757
```

Computed properties:
- ΔE_f (raw): -0.945 eV/atom
- Symmetry: P-4m2